The following is a DFT calculation (GGA-PBE) of a relaxed structure of YbYZn2.

a b c (Å): 5.0680 5.0679 5.0679
angles (deg): 60.00 60.00 60.00
Closest atoms and distances in Å follow each position.
Positions (direct):
Zn1 0.5000 0.5000 0.5000  4 Yb 3.10, 4 Y 3.10
Zn2 0.0000 0.0000 0.0000  4 Yb 3.10, 4 Y 3.10
Y1 0.2500 0.2500 0.2500  8 Zn 3.10
Yb1 0.7500 0.7500 0.7500  8 Zn 3.10

Summary:
Raw total energy = -2.9742 eV/atom


The following is a DFT calculation (GGA-PBE) of a relaxed structure of Y2Zn.

a b c (Å): 6.4986 5.9659 5.9659
angles (deg): 107.26 123.00 57.00
Closest atoms and distances in Å follow each position.
Positions (direct):
Y1 0.6743 0.5000 0.8487  4 Zn 3.08
Y2 0.3257 0.5000 0.1513  4 Zn 3.08
Y3 0.1743 0.1513 0.5000  4 Zn 3.08
Y4 0.8257 0.8487 0.5000  4 Zn 3.08
Zn1 0.2500 0.0000 0.0000  8 Y 3.08, 2 Zn 3.25
Zn2 0.7500 0.0000 0.0000  8 Y 3.08, 2 Zn 3.25

Summary:
Raw total energy = -4.9136 eV/atom


The following is a DFT calculation (GGA-PBE) of a relaxed structure of Y7Zn3.

a b c (Å): 13.7881 13.7881 5.4684
angles (deg): 90.00 90.00 164.60
Closest atoms and distances in Å follow each position.
Positions (direct):
Y1 0.0162 0.9838 0.0000  4 Zn 2.98-3.02
Y2 0.7997 0.2003 0.0000  10 Y 3.32-3.69, 2 Zn 3.32
Y3 0.1907 0.8093 0.0000  2 Zn 3.05
Y4 0.6500 0.3500 0.5000  4 Zn 3.01-3.04
Y5 0.2708 0.7292 0.5000  2 Zn 3.25, 6 Y 3.39-3.50
Y6 0.4005 0.5995 0.0000  8 Y 3.32-3.69, 4 Zn 3.41
Y7 0.4722 0.5278 0.5000  4 Zn 3.09-3.38, 2 Y 3.36
Zn1 0.8686 0.1314 0.5000  10 Y 3.25-3.41
Zn2 0.6017 0.3983 0.0000  6 Y 2.98-3.05
Zn3 0.0630 0.9370 0.5000  6 Y 3.01-3.09

Summary:
Energy above the lowest structure with this stoichiometry = 85 meV per atom


The following is a DFT calculation (GGA-PBE) of a relaxed structure of Y7Zn6.

a b c (Å): 9.8817 9.8817 9.8817
angles (deg): 39.49 39.49 39.49
Closest atoms and distances in Å follow each position.
Positions (direct):
Y1 0.9301 0.4132 0.4132  2 Zn 2.92-2.95, 3 Y 3.07-3.23
Y2 0.0699 0.5868 0.5868  2 Zn 2.92-2.95, 3 Y 3.07-3.23
Y3 0.4132 0.4132 0.9301  2 Zn 2.92-2.95, 3 Y 3.07-3.23
Y4 0.4132 0.9301 0.4132  2 Zn 2.92-2.95, 3 Y 3.07-3.23
Y5 0.5868 0.0699 0.5868  2 Zn 2.92-2.95, 3 Y 3.07-3.23
Y6 0.5000 0.5000 0.5000  6 Y 3.07
Y7 0.5868 0.5868 0.0699  2 Zn 2.92-2.95, 3 Y 3.07-3.23
Zn1 0.6652 0.6652 0.6652  6 Y 2.92-2.95
Zn2 0.0542 0.0542 0.0542  2 Zn 2.70-2.96
Zn3 0.8468 0.8468 0.8468  1 Zn 2.70
Zn4 0.1532 0.1532 0.1532  1 Zn 2.70
Zn5 0.9458 0.9458 0.9458  2 Zn 2.70-2.96
Zn6 0.3348 0.3348 0.3348  6 Y 2.92-2.95

Summary:
Raw total energy = -3.8168 eV/atom